The following is a PBE calculation of a relaxed Ca2MoIr crystal, from the Alexandria database.

Lattice parameters (Å, degrees): 3.026 4.791 5.535 90.00 90.00 90.00
Positions (direct):
Ca  0.000  0.000  0.243
Ca  0.000  0.000  0.757
Mo  0.500  0.500  0.500
Ir  0.500  0.500  0.000

Summary:
- ΔH_f (0 K): 0.5013 eV/atom
- SG: Pmmm
- Uncorrected energy: -5.4225 eV per atom
- Relative energy among the computed polymorphs: 1.94 eV/f.u.
- Volume: 80 Å³/f.u.

The following is a PBE calculation of a relaxed Ti2CrPtRh crystal, from the Alexandria database.

Lattice parameters (Å, degrees): 4.661 4.661 4.967 90.00 90.00 90.00
Positions (direct):
Ti  0.000  0.500  0.000
Ti  0.500  0.000  0.000
Cr  0.000  0.000  0.500
Pt  0.500  0.500  0.000
Rh  0.500  0.500  0.500

Summary:
- ΔH_f (0 K): 0.7894 eV/atom
- SG: P4/mmm
- Uncorrected energy: -6.9717 eV per atom
- Volume: 108 Å³/f.u.

The following is a PBE calculation of a relaxed CdRe2Ag crystal, from the Alexandria database.

Lattice parameters (Å, degrees): 3.788 3.788 4.678 90.00 90.00 90.00
Positions (direct):
Cd  0.000  0.000  0.000
Re  0.000  0.500  0.500
Re  0.500  0.000  0.500
Ag  0.500  0.500  0.000

Summary:
- ΔH_f (0 K): 0.7724 eV/atom
- SG: P4/mmm
- Uncorrected energy: -6.3933 eV per atom
- Volume: 67 Å³/f.u.

The following is a PBE calculation of a relaxed Li3Ga4Tc crystal, from the Alexandria database.

Lattice parameters (Å, degrees): 6.801 6.801 6.801 142.11 142.11 54.66
Positions (direct):
Li  0.000  0.000  0.000
Li  0.262  0.262  0.000
Li  0.738  0.738  0.000
Ga  0.121  0.621  0.500
Ga  0.379  0.879  0.500
Ga  0.621  0.121  0.500
Ga  0.879  0.379  0.500
Tc  0.500  0.500  0.000

Summary:
- ΔH_f (0 K): -0.2461 eV/atom
- SG: I4/mmm
- Uncorrected energy: -3.7729 eV per atom
- Volume: 118 Å³/f.u.

The following is a PBE calculation of a relaxed TaAg2Ir crystal, from the Alexandria database.

Lattice parameters (Å, degrees): 5.200 5.200 2.852 90.00 90.00 118.78
Positions (direct):
Ta  0.000  0.000  0.000
Ag  0.000  0.500  0.500
Ag  0.500  0.000  0.500
Ir  0.500  0.500  0.000

Summary:
- ΔH_f (0 K): 0.3421 eV/atom
- SG: Cmmm
- Uncorrected energy: -6.2620 eV per atom
- Relative energy among the computed polymorphs: 1.27 eV/f.u.
- Volume: 68 Å³/f.u.

The following is a PBE calculation of a relaxed ZrRe2PtO crystal, from the Alexandria database.

Lattice parameters (Å, degrees): 5.025 5.025 3.891 90.00 90.00 90.00
Positions (direct):
Zr  0.000  0.000  0.000
Re  0.000  0.500  0.000
Re  0.500  0.000  0.000
Pt  0.500  0.500  0.500
O  0.000  0.000  0.500

Summary:
- SG: P4/mmm
- Uncorrected energy: -7.4734 eV per atom
- Volume: 98 Å³/f.u.
- Formation energy without anion corrections: 1.42 eV/atom

The following is a PBE calculation of a relaxed MnMo3 crystal, from the Alexandria database.

Lattice parameters (Å, degrees): 2.606 4.376 5.384 90.00 90.00 90.00
Positions (direct):
Mn  0.000  0.000  0.000
Mo  0.000  0.000  0.500
Mo  0.500  0.500  0.242
Mo  0.500  0.500  0.758

Summary:
- ΔH_f (0 K): 0.2954 eV/atom
- SG: Pmmm
- Uncorrected energy: -10.1203 eV per atom
- Volume: 61 Å³/f.u.

The following is a PBE calculation of a relaxed Mg4TlHg2 crystal, from the Alexandria database.

Lattice parameters (Å, degrees): 8.619 8.619 8.619 32.81 32.81 32.81
Positions (direct):
Mg  0.114  0.114  0.114
Mg  0.372  0.372  0.372
Mg  0.628  0.628  0.628
Mg  0.886  0.886  0.886
Tl  0.500  0.500  0.500
Hg  0.256  0.256  0.256
Hg  0.744  0.744  0.744

Summary:
- ΔH_f (0 K): -0.1189 eV/atom
- SG: R-3m
- Uncorrected energy: -1.4544 eV per atom
- Relative energy among the computed polymorphs: 0.00 eV/f.u.
- Volume: 167 Å³/f.u.

- Among the records above, which one has the highest volume?
  Mg4TlHg2

- Among the records above, which one has the lowest uncorrected energy?
  MnMo3

- Which value of volume does entry 7 give?
  61 Å³/f.u.